[1]
! AgHgSO, optimized geometry, DFT PBE; values from VASP
! * distance to the lowest polymorph of the same formula: 92 meV per atom
! * symmetry: Pca2_1 (29)
&SYSTEM
  ibrav = 0, nat = 16, ntyp = 4
/
ATOMIC_SPECIES
Hg 200.59 Hg.upf
Ag 107.87 Ag.upf
S 32.06 S.upf
O 16.00 O.upf
CELL_PARAMETERS angstrom
6.235 0.000 0.000
0.000 7.618 0.000
0.000 0.000 6.009
ATOMIC_POSITIONS crystal
Hg 0.094 0.641 0.624
Hg 0.406 0.641 0.124
Ag 0.250 0.090 0.376
S 0.462 0.325 0.125
O 0.473 0.920 0.126
Ag 0.750 0.910 0.376
O 0.973 0.080 0.126
O 0.527 0.080 0.626
Hg 0.906 0.359 0.124
S 0.038 0.325 0.625
S 0.962 0.675 0.125
S 0.538 0.675 0.625
Hg 0.594 0.359 0.624
O 0.027 0.920 0.626
Ag 0.250 0.090 0.876
Ag 0.750 0.910 0.876


[2]
! AgHg3SbO6, optimized geometry, DFT PBE; values from VASP
! * E_tot: -88.71 eV for the cell shown
! * symmetry: R-3c (167)
&SYSTEM
  ibrav = 0, nat = 22, ntyp = 4
/
ATOMIC_SPECIES
Hg 200.59 Hg.upf
O 16.00 O.upf
Ag 107.87 Ag.upf
Sb 121.76 Sb.upf
CELL_PARAMETERS angstrom
0.141 -2.750 6.397
5.096 -4.431 -1.701
4.529 4.999 1.733
ATOMIC_POSITIONS crystal
Hg 0.750 0.086 0.586
O 0.790 0.486 0.492
O 0.986 0.290 0.992
O 0.210 0.514 0.508
O 0.486 0.508 0.210
O 0.514 0.492 0.790
O 0.508 0.790 0.514
O 0.008 0.986 0.710
Ag 0.750 0.750 0.250
O 0.290 0.008 0.014
Hg 0.086 0.414 0.250
O 0.492 0.210 0.486
Sb 0.500 0.500 0.500
Hg 0.914 0.586 0.750
Sb 0.000 0.000 0.000
O 0.710 0.992 0.986
Hg 0.586 0.250 0.086
Hg 0.414 0.750 0.914
O 0.992 0.014 0.290
Hg 0.250 0.914 0.414
Ag 0.250 0.250 0.750
O 0.014 0.710 0.008


[3]
! AgHgTeO, optimized geometry, DFT PBE; values from VASP
! * distance to the lowest polymorph of the same formula: 87 meV per atom
! * symmetry: P6_3mc (186)
&SYSTEM
  ibrav = 0, nat = 8, ntyp = 4
/
ATOMIC_SPECIES
Hg 200.59 Hg.upf
O 16.00 O.upf
Te 127.60 Te.upf
Ag 107.87 Ag.upf
CELL_PARAMETERS angstrom
-2.365 2.217 2.077
-0.275 -3.834 0.211
8.831 -0.076 10.134
ATOMIC_POSITIONS crystal
Hg 0.000 0.000 0.478
Hg 0.000 0.000 0.978
O 0.000 0.000 0.321
Te 0.333 0.667 0.627
Ag 0.333 0.667 0.261
Te 0.667 0.333 0.127
Ag 0.667 0.333 0.761
O 0.000 0.000 0.821


[4]
! AgHgTeO, optimized geometry, DFT PBE; values from VASP
! * distance to the lowest polymorph of the same formula: 11 meV per atom
! * symmetry: Pnma (62)
&SYSTEM
  ibrav = 0, nat = 16, ntyp = 4
/
ATOMIC_SPECIES
Te 127.60 Te.upf
Ag 107.87 Ag.upf
Hg 200.59 Hg.upf
O 16.00 O.upf
CELL_PARAMETERS angstrom
6.858 0.000 0.000
0.000 3.609 0.000
0.000 0.000 13.959
ATOMIC_POSITIONS crystal
Te 0.729 0.250 0.595
Ag 0.223 0.250 0.552
Hg 0.030 0.250 0.250
O 0.220 0.750 0.658
Ag 0.723 0.250 0.948
O 0.720 0.750 0.842
Ag 0.277 0.750 0.052
Hg 0.530 0.250 0.250
Te 0.271 0.750 0.405
O 0.280 0.250 0.158
Hg 0.470 0.750 0.750
O 0.780 0.250 0.342
Te 0.771 0.750 0.095
Ag 0.777 0.750 0.448
Hg 0.970 0.750 0.750
Te 0.229 0.250 0.905


[5]
! AgHgTeO, optimized geometry, DFT PBE; values from VASP
! * distance to the lowest polymorph of the same formula: 3 meV per atom
! * symmetry: Pbca (61)
&SYSTEM
  ibrav = 0, nat = 32, ntyp = 4
/
ATOMIC_SPECIES
Hg 200.59 Hg.upf
O 16.00 O.upf
Ag 107.87 Ag.upf
Te 127.60 Te.upf
CELL_PARAMETERS angstrom
6.921 0.000 0.000
0.000 13.671 0.000
0.000 0.000 7.635
ATOMIC_POSITIONS crystal
Hg 0.991 0.741 0.750
O 0.240 0.749 0.406
O 0.740 0.751 0.594
O 0.260 0.251 0.906
Ag 0.748 0.914 0.489
Ag 0.252 0.086 0.511
O 0.760 0.249 0.094
Ag 0.748 0.586 0.989
Hg 0.491 0.741 0.750
Te 0.000 0.004 0.252
Te 0.500 0.496 0.748
Te 0.500 0.504 0.252
Hg 0.509 0.241 0.750
O 0.260 0.249 0.406
Hg 0.009 0.241 0.750
Hg 0.491 0.759 0.250
Te 0.500 0.004 0.248
Te 0.000 0.496 0.752
Te 0.500 0.996 0.752
Ag 0.752 0.414 0.489
Hg 0.991 0.759 0.250
Ag 0.248 0.914 0.011
Te 0.000 0.504 0.248
Ag 0.752 0.086 0.989
O 0.760 0.251 0.594
Ag 0.248 0.586 0.511
Te 0.000 0.996 0.748
Hg 0.509 0.259 0.250
Ag 0.252 0.414 0.011
Hg 0.009 0.259 0.250
O 0.240 0.751 0.906
O 0.740 0.749 0.094


[6]
! AgHgTeO, optimized geometry, DFT PBE; values from VASP
! * distance to the lowest polymorph of the same formula: 39 meV per atom
! * symmetry: Pnma (62)
&SYSTEM
  ibrav = 0, nat = 16, ntyp = 4
/
ATOMIC_SPECIES
Ag 107.87 Ag.upf
O 16.00 O.upf
Hg 200.59 Hg.upf
Te 127.60 Te.upf
CELL_PARAMETERS angstrom
-1.159 -5.648 2.917
3.431 0.110 1.576
-5.155 6.614 10.759
ATOMIC_POSITIONS crystal
Ag 0.970 0.750 0.750
O 0.719 0.750 0.855
Ag 0.470 0.750 0.750
Hg 0.761 0.750 0.452
Te 0.227 0.250 0.885
Ag 0.030 0.250 0.250
Te 0.727 0.250 0.615
O 0.281 0.250 0.145
Hg 0.239 0.250 0.548
Hg 0.739 0.250 0.952
O 0.219 0.750 0.645
Ag 0.530 0.250 0.250
O 0.781 0.250 0.355
Te 0.773 0.750 0.115
Te 0.273 0.750 0.385
Hg 0.261 0.750 0.048